Ni12Ge5P2 after structural relaxation, computed with GGA-PBE.

Cell: 12.6792 6.8741 6.0610 Å, 90.00 109.34 90.00°
Last column: nearest neighbours and their distance in Å.
Space group C2/m (No. 12)
Unique sites:
1 Ni 0.0308 0.0000 0.2897 x4  2 P 2.21, 1 Ge 2.37
2 Ni 0.0813 0.5000 0.6965 x4  2 P 2.19, 2 Ge 2.37-2.39
3 Ni 0.1111 0.2024 0.0001 x8  4 Ni 2.48-2.71, 4 Ge 2.48-2.56
4 Ni 0.1833 0.1975 0.6259 x8  1 P 2.22, 3 Ge 2.31-2.38
5 Ge 0.0000 0.5000 0.0000 x2  6 Ni 2.39-2.48
6 Ge 0.2250 0.0000 0.3437 x4  8 Ni 2.36-2.55
7 Ge 0.2304 0.5000 0.0567 x4  7 Ni 2.31-2.56
8 P 0.0000 0.2433 0.5000 x4  6 Ni 2.19-2.22

## Properties
As for the total energy: -5.664 eV per atom. The formation energy comes out at -0.228 eV per atom.

K3NdEr2S6 after structural relaxation, computed with GGA-PBE.

Cell: 7.0628 12.2334 7.7439 Å, 90.00 107.72 90.00°
Last column: nearest neighbours and their distance in Å.
Space group C2/m (No. 12)
Unique sites:
1 K 0.0000 0.0000 0.0000 x2  6 S 3.17-3.25
2 K 0.0000 0.3346 0.0000 x4  6 S 3.17-3.25
3 Nd 0.0000 0.5000 0.5000 x2  6 S 2.85
4 Er 0.0000 0.1668 0.5000 x4  6 S 2.76
5 S 0.2237 0.0000 0.7024 x4  2 Er 2.76, 1 Nd 2.85
6 S 0.2394 0.3281 0.7025 x8  2 Er 2.76, 1 Nd 2.85

## Properties
As for the total energy: -5.369 eV per atom. The formation energy (no corrections) is -1.8727 eV/atom.

Tl2PbS after structural relaxation, computed with GGA-PBE.

Cell: 6.7787 6.7787 13.0364 Å, 90.00 90.00 90.00°
Last column: nearest neighbours and their distance in Å.
Space group I-42d (No. 122)
Unique sites:
1 Tl 0.2198 0.2500 0.1250 x8  2 S 2.78, 2 Pb 3.02
2 Pb 0.0000 0.0000 0.5000 x4  4 Tl 3.02
3 S 0.0000 0.0000 0.0000 x4  4 Tl 2.78

## Properties
As for the total energy: -3.080 eV per atom. The formation energy (no corrections) is 0.0620 eV/atom.

Ac2Sn2Pd3 after structural relaxation, computed with GGA-PBE.

Cell: 12.0909 4.2759 7.4429 Å, 90.00 114.92 90.00°
Last column: nearest neighbours and their distance in Å.
Space group C2/m (No. 12)
Unique sites:
1 Ac 0.1272 0.0000 0.2660 x4  6 Pd 3.20-3.50, 4 Sn 3.38-3.49
2 Sn 0.1576 0.0000 0.7537 x4  5 Pd 2.75-2.96
3 Pd 0.0000 0.5000 0.5000 x2  2 Pd 2.90, 4 Sn 2.96
4 Pd 0.0987 0.5000 0.9289 x4  3 Sn 2.75-2.90, 2 Pd 2.90-2.99

## Properties
As for the total energy: -5.318 eV per atom. The formation energy comes out at -0.775 eV per atom.

K2CuBiF6 after structural relaxation, computed with GGA-PBE.

Cell: 8.9354 8.9354 8.9354 Å, 90.00 90.00 90.00°
Last column: nearest neighbours and their distance in Å.
Space group Fm-3m (No. 225)
Unique sites:
1 K 0.2500 0.2500 0.2500 x8  12 F 3.16
2 Cu 0.0000 0.0000 0.0000 x4  6 F 2.19
3 Bi 0.0000 0.0000 0.5000 x4  6 F 2.28
4 F 0.0000 0.0000 0.2447 x24  1 Cu 2.19, 1 Bi 2.28

## Properties
As for the total energy: -4.387 eV per atom. The formation energy (no corrections) is -2.2474 eV/atom.

Na2ZnRhF after structural relaxation, computed with GGA-PBE.

Cell: 5.5949 5.5949 3.8111 Å, 90.00 90.00 90.00°
Last column: nearest neighbours and their distance in Å.
Space group P4/mmm (No. 123)
Unique sites:
1 Na 0.0000 0.5000 0.0000 x2  2 Zn 2.80
2 Zn 0.0000 0.0000 0.0000 x1  2 F 1.91
3 Rh 0.5000 0.5000 0.5000 x1  8 Na 3.38
4 F 0.0000 0.0000 0.5000 x1  2 Zn 1.91

## Properties
As for the total energy: -2.478 eV per atom. The formation energy (no corrections) is 0.1494 eV/atom.

Nb2TcRu after structural relaxation, computed with GGA-PBE.

Cell: 2.8274 4.8937 9.9339 Å, 90.00 90.00 90.00°
Last column: nearest neighbours and their distance in Å.
Space group Immm (No. 71)
Unique sites:
1 Nb 0.0000 0.0000 0.2473 x4  1 Ru 2.46, 1 Tc 2.51
2 Tc 0.0000 0.0000 0.5000 x2  2 Nb 2.51
3 Ru 0.0000 0.0000 0.0000 x2  2 Nb 2.46

## Properties
As for the total energy: -9.378 eV per atom. The formation energy comes out at 0.567 eV per atom.

NaNb2SiTc after structural relaxation, computed with GGA-PBE.

Cell: 4.5831 4.5831 4.4799 Å, 90.00 90.00 90.00°
Last column: nearest neighbours and their distance in Å.
Space group P4/mmm (No. 123)
Unique sites:
1 Na 0.0000 0.0000 0.0000 x1  2 Tc 2.24, 4 Nb 2.29
2 Nb 0.0000 0.5000 0.0000 x2  2 Na 2.29
3 Si 0.5000 0.5000 0.5000 x1  8 Nb 3.20, 4 Tc 3.24
4 Tc 0.0000 0.0000 0.5000 x1  2 Na 2.24

## Properties
As for the total energy: -5.282 eV per atom. The formation energy (no corrections) is 2.1677 eV/atom.